(1)
# Y2ErPuSe4 PBE relaxed
data_Y2ErPuSe4
_space_group_name_H-M_alt 'P 1'
_space_group_IT_number 1
_cell_length_a 4.070
_cell_length_b 7.088
_cell_length_c 7.086
_cell_angle_alpha 109.16
_cell_angle_beta 90.00
_cell_angle_gamma 90.00
loop_
_space_group_symop_operation_xyz
'x,y,z'
loop_
_atom_site_label
_atom_site_fract_x
_atom_site_fract_y
_atom_site_fract_z
Y1 0.500 0.000 0.500
Y2 0.000 0.500 0.500
Er1 0.000 0.000 0.000
Pu1 0.500 0.500 0.000
Se1 0.500 0.245 0.248
Se2 0.500 0.755 0.752
Se3 0.000 0.246 0.749
Se4 0.000 0.754 0.251
# raw formation energy = -1.712 eV/atom
# VASP energy = -59.45 eV per formula unit


(2)
# Y3Er2PuSe6 PBE relaxed
data_Y3Er2PuSe6
_space_group_name_H-M_alt 'P 1'
_space_group_IT_number 1
_cell_length_a 4.058
_cell_length_b 8.188
_cell_length_c 9.126
_cell_angle_alpha 103.02
_cell_angle_beta 102.85
_cell_angle_gamma 90.00
loop_
_space_group_symop_operation_xyz
'x,y,z'
loop_
_atom_site_label
_atom_site_fract_x
_atom_site_fract_y
_atom_site_fract_z
Y1 0.500 0.500 0.000
Y2 0.836 0.165 0.672
Y3 0.164 0.835 0.328
Er1 0.837 0.672 0.673
Er2 0.163 0.328 0.327
Pu1 0.500 0.000 0.000
Se1 0.331 0.912 0.662
Se2 0.669 0.581 0.339
Se3 0.669 0.088 0.338
Se4 0.001 0.254 0.002
Se5 0.999 0.746 0.998
Se6 0.331 0.419 0.661
# raw formation energy = -1.725 eV/atom
# VASP energy = -84.46 eV per formula unit


(3)
# Y3Er3PuSe8 PBE relaxed
data_Y3Er3PuSe8
_space_group_name_H-M_alt 'P 1'
_space_group_IT_number 1
_cell_length_a 8.111
_cell_length_b 8.111
_cell_length_c 8.117
_cell_angle_alpha 119.98
_cell_angle_beta 90.00
_cell_angle_gamma 120.00
loop_
_space_group_symop_operation_xyz
'x,y,z'
loop_
_atom_site_label
_atom_site_fract_x
_atom_site_fract_y
_atom_site_fract_z
Y1 0.000 0.000 0.000
Y2 0.000 0.500 0.000
Y3 0.500 0.500 0.000
Er1 0.500 0.000 0.500
Er2 0.500 0.500 0.500
Er3 0.000 0.500 0.500
Pu1 0.000 0.000 0.500
Se1 0.251 0.503 0.254
Se2 0.749 0.497 0.746
Se3 0.743 0.486 0.246
Se4 0.257 0.514 0.754
Se5 0.743 0.003 0.246
Se6 0.257 0.997 0.754
Se7 0.260 0.003 0.246
Se8 0.740 0.997 0.754
# raw formation energy = -1.770 eV/atom
# VASP energy = -101.83 eV per formula unit


What is the VASP energy in the third record? -101.83 eV per formula unit


What is the raw formation energy in the second record? -1.725 eV/atom


The highest VASP energy belongs to which entry? Y2ErPuSe4


The highest raw formation energy belongs to which entry? Y2ErPuSe4